# 1
Material: ScCu2Cl
Method: DFT, PBE-GGA
State: relaxed

Calculated values
* final energy: -4.31 eV/atom
* symmetry: Cmmm, No. 65
* energy relative to the elements, uncorrected: -0.21 eV/atom

a b c (Å): 4.9735 4.9735 3.3634
angles (deg): 90.00 90.00 120.93
Closest atoms and distances in Å follow each position.
Fractional positions:
Cu 0.0000 0.0000 0.0000  2 Cu 2.45
Sc 0.5000 0.0000 0.5000  2 Cl 2.45
Cu 0.5000 0.5000 0.0000  2 Cu 2.45
Cl 0.0000 0.5000 0.5000  2 Sc 2.45

# 2
Material: ScCuCl2
Method: DFT, PBE-GGA
State: relaxed

Calculated values
* final energy: -4.50 eV/atom
* symmetry: C2/m, No. 12
* energy relative to the elements, uncorrected: -0.97 eV/atom

a b c (Å): 7.3578 7.3578 4.7250
angles (deg): 71.20 71.20 26.16
Closest atoms and distances in Å follow each position.
Fractional positions:
Cl 0.8884 0.8884 0.1113  2 Sc 2.51
Sc 0.2500 0.2500 0.2500  4 Cl 2.51
Cl 0.6116 0.6116 0.3887  2 Sc 2.51
Cu 0.7500 0.7500 0.7500  4 Sc 2.89, 4 Cl 3.01-3.02

# 3
Material: ScCuCl2
Method: DFT, PBE-GGA
State: relaxed

Calculated values
* final energy: -4.04 eV/atom
* symmetry: I-42d, No. 122
* energy relative to the elements, uncorrected: -0.51 eV/atom

a b c (Å): 5.9386 5.9386 6.7052
angles (deg): 63.72 63.72 90.00
Closest atoms and distances in Å follow each position.
Fractional positions:
Sc 0.2500 0.7500 0.5000  4 Cl 2.62
Cu 0.0000 0.0000 0.0000  4 Cl 2.34
Cl 0.0865 0.6250 0.2500  2 Cu 2.34, 2 Sc 2.62
Cu 0.7500 0.2500 0.5000  4 Cl 2.34
Cl 0.8750 0.9135 0.7500  2 Cu 2.34, 2 Sc 2.62
Cl 0.3750 0.3365 0.7500  2 Cu 2.34, 2 Sc 2.62
Sc 0.5000 0.5000 0.0000  4 Cl 2.62
Cl 0.6635 0.1250 0.2500  2 Cu 2.34, 2 Sc 2.62

# 4
Material: ScCuCl2
Method: DFT, PBE-GGA
State: relaxed

Calculated values
* final energy: -4.11 eV/atom
* symmetry: P2/m, No. 10
* energy relative to the elements, uncorrected: -0.58 eV/atom

a b c (Å): 4.1751 3.5634 5.4838
angles (deg): 91.65 90.00 90.00
Closest atoms and distances in Å follow each position.
Fractional positions:
Cl 0.0000 0.5218 0.5065  2 Sc 2.60, 2 Cu 2.68
Cl 0.0000 0.9782 0.9935  2 Sc 2.60, 2 Cu 2.68
Cu 0.5000 0.2500 0.2500  4 Cl 2.68
Sc 0.5000 0.7500 0.7500  4 Cl 2.60

# 5
Material: ScCuCl2
Method: DFT, PBE-GGA
State: relaxed

Calculated values
* final energy: -4.56 eV/atom
* symmetry: Pm, No. 6
* energy relative to the elements, uncorrected: -1.03 eV/atom

a b c (Å): 3.3673 3.5903 7.9772
angles (deg): 78.01 90.00 90.00
Closest atoms and distances in Å follow each position.
Fractional positions:
Cu 0.0000 0.5413 0.5151  4 Cl 2.65-2.78, 4 Sc 2.81-2.83
Cl 0.5000 0.1375 0.3683  1 Sc 2.52, 4 Cu 2.65-2.78
Sc 0.5000 0.9641 0.6910  3 Cl 2.49-2.52
Cl 0.0000 0.8571 0.9255  2 Sc 2.49

# 6
Material: ScCu2Cl
Method: DFT, PBE-GGA
State: relaxed

Calculated values
* final energy: -4.21 eV/atom
* symmetry: R-3m, No. 166
* energy relative to the elements, uncorrected: -0.11 eV/atom

a b c (Å): 7.7643 7.7643 7.7643
angles (deg): 24.96 24.96 24.96
Closest atoms and distances in Å follow each position.
Fractional positions:
Sc 0.2500 0.2500 0.2500  6 Cu 2.74
Cu 0.4973 0.4973 0.4973  3 Cl 2.66, 3 Sc 2.74
Cu 0.0027 0.0027 0.0027  3 Cl 2.66, 3 Sc 2.74
Cl 0.7500 0.7500 0.7500  6 Cu 2.66

# 7
Material: ScCuCl2
Method: DFT, PBE-GGA
State: relaxed

Calculated values
* final energy: -4.17 eV/atom
* symmetry: Cmmm, No. 65
* energy relative to the elements, uncorrected: -0.64 eV/atom

a b c (Å): 3.3721 3.3721 10.5601
angles (deg): 90.00 90.00 119.65
Closest atoms and distances in Å follow each position.
Fractional positions:
Sc 0.5000 0.5000 0.7500  4 Cl 2.49
Cl 0.0000 0.0000 0.9226  2 Sc 2.49
Cu 0.5000 0.5000 0.2500  6 Cu 3.37-3.39
Cl 0.0000 0.0000 0.5774  2 Sc 2.49

# 8
Material: ScCuCl2
Method: DFT, PBE-GGA
State: relaxed

Calculated values
* final energy: -4.16 eV/atom
* symmetry: C2/m, No. 12
* energy relative to the elements, uncorrected: -0.63 eV/atom

a b c (Å): 5.3047 5.3047 3.4747
angles (deg): 68.42 68.42 101.39
Closest atoms and distances in Å follow each position.
Fractional positions:
Sc 0.0000 0.5000 0.5000  4 Cl 2.58
Cl 0.5000 0.5000 0.0000  2 Sc 2.58, 2 Cu 2.58
Cu 0.5000 0.0000 0.5000  4 Cl 2.58
Cl 0.0000 0.0000 0.0000  2 Cu 2.58, 2 Sc 2.58

# 9
Material: ScCuCl4
Method: DFT, PBE-GGA
State: relaxed

Calculated values
* final energy: -2.66 eV/atom
* symmetry: F-43m, No. 216
* energy relative to the elements, uncorrected: 0.31 eV/atom

a b c (Å): 5.7297 5.7297 5.7297
angles (deg): 60.00 60.00 60.00
Closest atoms and distances in Å follow each position.
Fractional positions:
Cl 0.3753 0.3753 0.3753  6 Cl 2.86-2.87
Cu 0.7500 0.7500 0.7500  12 Cl 3.36, 4 Sc 3.51
Cl 0.8741 0.3753 0.3753  6 Cl 2.86-2.87
Cl 0.3753 0.3753 0.8741  6 Cl 2.86-2.87
Sc 0.0000 0.0000 0.0000  12 Cl 3.36, 4 Cu 3.51
Cl 0.3753 0.8741 0.3753  6 Cl 2.86-2.87

# 10
Material: ScCu3Cl
Method: DFT, PBE-GGA
State: relaxed

Calculated values
* final energy: -3.43 eV/atom
* symmetry: Pm-3m, No. 221
* energy relative to the elements, uncorrected: 0.67 eV/atom

a b c (Å): 4.5197 4.5197 4.5197
angles (deg): 90.00 90.00 90.00
Closest atoms and distances in Å follow each position.
Fractional positions:
Cu 0.0000 0.0000 0.5000  2 Cl 2.26
Cu 0.0000 0.5000 0.0000  2 Cl 2.26
Sc 0.5000 0.5000 0.5000  12 Cu 3.20
Cu 0.5000 0.0000 0.0000  2 Cl 2.26
Cl 0.0000 0.0000 0.0000  6 Cu 2.26

# 11
Material: ScCuCl2
Method: DFT, PBE-GGA
State: relaxed

Calculated values
* final energy: -3.94 eV/atom
* symmetry: F-43m, No. 216
* energy relative to the elements, uncorrected: -0.41 eV/atom

a b c (Å): 4.7487 4.7487 4.7487
angles (deg): 60.00 60.00 60.00
Closest atoms and distances in Å follow each position.
Fractional positions:
Cu 0.5000 0.5000 0.5000  4 Cl 2.91, 4 Sc 2.91
Sc 0.2500 0.2500 0.2500  4 Cl 2.91, 4 Cu 2.91
Cl 0.0000 0.0000 0.0000  4 Sc 2.91, 4 Cl 2.91
Cl 0.7500 0.7500 0.7500  4 Cl 2.91, 4 Cu 2.91

# 12
Material: ScCuCl2
Method: DFT, PBE-GGA
State: relaxed

Calculated values
* final energy: -4.09 eV/atom
* symmetry: P4/mmm, No. 123
* energy relative to the elements, uncorrected: -0.55 eV/atom

a b c (Å): 4.4124 4.4124 3.5303
angles (deg): 90.00 90.00 90.00
Closest atoms and distances in Å follow each position.
Fractional positions:
Cl 0.0000 0.0000 0.0000  4 Cu 2.83, 4 Sc 2.83, 4 Cl 3.12
Cu 0.5000 0.0000 0.5000  8 Cl 2.83, 4 Sc 3.12
Cl 0.5000 0.5000 0.0000  4 Sc 2.83, 4 Cu 2.83, 4 Cl 3.12
Sc 0.0000 0.5000 0.5000  8 Cl 2.83, 4 Cu 3.12